(1)
La10Tb4Ce | PBE | optimized geometry

Values from the calculation:
M_tot, μB/f.u.: 1.28
Energy of formation, eV/atom: 0.273

Cell: 8.8539 8.8539 8.8539 Å, 111.81 111.81 104.89°
Element x y z (fractional)
La (0.0417, 0.3709, 0.1030)
La (0.0612, 0.9583, 0.3292)
La (0.2500, 0.7500, 0.5000)
La (0.2680, 0.9388, 0.8970)
La (0.3709, 0.2680, 0.3292)
La (0.6291, 0.7320, 0.6708)
La (0.7320, 0.0612, 0.1030)
La (0.7500, 0.2500, 0.5000)
La (0.9388, 0.0417, 0.6708)
La (0.9583, 0.6291, 0.8970)
Tb (0.1682, 0.4410, 0.6092)
Tb (0.4410, 0.8318, 0.2727)
Tb (0.5590, 0.1682, 0.7273)
Tb (0.8318, 0.5590, 0.3908)
Ce (0.5000, 0.5000, 0.0000)

***

(2)
LaTbCe | PBE | optimized geometry

Values from the calculation:
Excess energy over the best structure of this formula in the dataset, meV per atom: 56
M_tot, μB/f.u.: 0.98
Energy of formation, eV/atom: 0.117

Cell: 5.6851 5.6851 3.4811 Å, 90.00 90.00 120.00°
Element x y z (fractional)
La (0.0000, 0.0000, 0.0000)
Tb (0.6667, 0.3333, 0.5000)
Ce (0.3333, 0.6667, 0.0000)

***

(3)
La4TbCe | PBE | optimized geometry

Values from the calculation:
M_tot, μB/f.u.: 1.23
Energy of formation, eV/atom: 0.182

Cell: 6.0966 6.0966 11.6523 Å, 117.65 117.65 33.35°
Element x y z (fractional)
La (0.1598, 0.1598, 0.3348)
La (0.3400, 0.3400, 0.1559)
La (0.6600, 0.6600, 0.8441)
La (0.8402, 0.8402, 0.6652)
Tb (0.5000, 0.5000, 0.5000)
Ce (0.0000, 0.0000, 0.0000)

***

(4)
La15Tb4Ce | PBE | optimized geometry

Values from the calculation:
M_tot, μB/f.u.: 1.38
Energy of formation, eV/atom: 0.023

Cell: 5.2151 5.2151 26.0797 Å, 90.00 90.00 90.00°
Element x y z (fractional)
La (0.0000, 0.0000, 0.0000)
La (0.0000, 0.0000, 0.2008)
La (0.0000, 0.0000, 0.4006)
La (0.0000, 0.0000, 0.5994)
La (0.0000, 0.0000, 0.7992)
La (0.0000, 0.5000, 0.0977)
La (0.0000, 0.5000, 0.2996)
La (0.0000, 0.5000, 0.5000)
La (0.0000, 0.5000, 0.7004)
La (0.0000, 0.5000, 0.9023)
La (0.5000, 0.0000, 0.0977)
La (0.5000, 0.0000, 0.2996)
La (0.5000, 0.0000, 0.5000)
La (0.5000, 0.0000, 0.7004)
La (0.5000, 0.0000, 0.9023)
Tb (0.5000, 0.5000, 0.1999)
Tb (0.5000, 0.5000, 0.4000)
Tb (0.5000, 0.5000, 0.6000)
Tb (0.5000, 0.5000, 0.8001)
Ce (0.5000, 0.5000, 0.0000)

***

(5)
La8Tb3Ce | PBE | optimized geometry

Values from the calculation:
M_tot, μB/f.u.: 0.00
Energy of formation, eV/atom: 0.462

Cell: 8.5458 8.5458 8.5458 Å, 117.93 117.93 93.63°
Element x y z (fractional)
La (0.1218, 0.1218, 0.7608)
La (0.2132, 0.2132, 0.4677)
La (0.2545, 0.7868, 0.0000)
La (0.3610, 0.3610, 0.2392)
La (0.6390, 0.8782, 0.0000)
La (0.7455, 0.7455, 0.5323)
La (0.7868, 0.2545, 0.0000)
La (0.8782, 0.6390, 0.0000)
Tb (0.2500, 0.7500, 0.5000)
Tb (0.5000, 0.5000, 0.0000)
Tb (0.7500, 0.2500, 0.5000)
Ce (0.0000, 0.0000, 0.0000)

***

(6)
La2TbCe | PBE | optimized geometry

Values from the calculation:
Excess energy over the best structure of this formula in the dataset, meV per atom: 12
M_tot, μB/f.u.: 0.79
Energy of formation, eV/atom: 0.072

Cell: 12.0147 12.0147 12.0147 Å, 17.36 17.36 17.36°
Element x y z (fractional)
La (0.0000, 0.0000, 0.0000)
La (0.1643, 0.1643, 0.1643)
Tb (0.5810, 0.5810, 0.5810)
Ce (0.7489, 0.7489, 0.7489)

***

(7)
La5TbCe | PBE | optimized geometry

Values from the calculation:
M_tot, μB/f.u.: 1.23
Energy of formation, eV/atom: 0.192

Cell: 6.2900 6.2922 7.1930 Å, 99.71 99.34 111.02°
Element x y z (fractional)
La (0.0000, 0.0000, 0.0000)
La (0.0295, 0.6043, 0.2801)
La (0.3968, 0.9693, 0.7205)
La (0.6032, 0.0307, 0.2795)
La (0.9705, 0.3957, 0.7199)
Tb (0.5000, 0.5000, 0.0000)
Ce (0.5000, 0.5000, 0.5000)

***

(8)
LaTbCeTc | PBE | optimized geometry

Values from the calculation:
M_tot, μB/f.u.: 0.00
Energy of formation, eV/atom: 0.072

Cell: 4.4412 4.4412 7.3057 Å, 107.68 107.68 60.11°
Element x y z (fractional)
La (0.0000, 0.0000, 0.0000)
Tb (0.7879, 0.7879, 0.3651)
Ce (0.5565, 0.5565, 0.6725)
Tc (0.2080, 0.2080, 0.6241)

***

(9)
LaTbCe2Te5 | PBE | optimized geometry

Values from the calculation:
Energy relative to the elements, uncorrected, meV per atom: -897
M_tot, μB/f.u.: 3.80

Cell: 5.5487 5.5487 11.9046 Å, 90.00 90.00 90.00°
Element x y z (fractional)
La (0.0000, 0.0000, 0.0000)
Tb (0.0000, 0.0000, 0.5000)
Ce (0.5000, 0.5000, 0.3326)
Ce (0.5000, 0.5000, 0.6674)
Te (0.0000, 0.0000, 0.2498)
Te (0.0000, 0.0000, 0.7502)
Te (0.0000, 0.5000, 0.5000)
Te (0.5000, 0.0000, 0.5000)
Te (0.5000, 0.5000, 0.0000)

***

(10)
La4TbCe3Te8 | PBE | optimized geometry

Values from the calculation:
Energy relative to the elements, uncorrected, meV per atom: -1473
M_tot, μB/f.u.: 3.51

Cell: 9.0664 9.0664 9.0664 Å, 59.71 59.71 59.71°
Element x y z (fractional)
La (0.0000, 0.0000, 0.0000)
La (0.0000, 0.5000, 0.5000)
La (0.5000, 0.0000, 0.5000)
La (0.5000, 0.5000, 0.0000)
Tb (0.5000, 0.5000, 0.5000)
Ce (0.0000, 0.0000, 0.5000)
Ce (0.0000, 0.5000, 0.0000)
Ce (0.5000, 0.0000, 0.0000)
Te (0.2481, 0.2481, 0.2481)
Te (0.2514, 0.7448, 0.7448)
Te (0.2552, 0.2552, 0.7486)
Te (0.2552, 0.7486, 0.2552)
Te (0.7448, 0.2514, 0.7448)
Te (0.7448, 0.7448, 0.2514)
Te (0.7486, 0.2552, 0.2552)
Te (0.7519, 0.7519, 0.7519)

***

(11)
La3TbCe4Te8 | PBE | optimized geometry

Values from the calculation:
Energy relative to the elements, uncorrected, meV per atom: -1443
M_tot, μB/f.u.: 4.72

Cell: 9.0422 9.0422 9.0422 Å, 59.76 59.76 59.76°
Element x y z (fractional)
La (0.0000, 0.5000, 0.5000)
La (0.5000, 0.0000, 0.5000)
La (0.5000, 0.5000, 0.0000)
Tb (0.0000, 0.0000, 0.0000)
Ce (0.0000, 0.0000, 0.5000)
Ce (0.0000, 0.5000, 0.0000)
Ce (0.5000, 0.0000, 0.0000)
Ce (0.5000, 0.5000, 0.5000)
Te (0.2428, 0.7535, 0.7535)
Te (0.2465, 0.2465, 0.7572)
Te (0.2465, 0.7572, 0.2465)
Te (0.2481, 0.2481, 0.2481)
Te (0.7519, 0.7519, 0.7519)
Te (0.7535, 0.2428, 0.7535)
Te (0.7535, 0.7535, 0.2428)
Te (0.7572, 0.2465, 0.2465)

***

(12)
LaTbCeTl | PBE | optimized geometry

Values from the calculation:
M_tot, μB/f.u.: 0.40
Energy of formation, eV/atom: -0.004

Cell: 5.5311 5.5311 5.5311 Å, 60.00 60.00 60.00°
Element x y z (fractional)
La (0.0000, 0.0000, 0.0000)
Tb (0.5000, 0.5000, 0.5000)
Ce (0.7500, 0.7500, 0.7500)
Tl (0.2500, 0.2500, 0.2500)

***

(13)
LaTb2CeTl4 | PBE | optimized geometry

Values from the calculation:
M_tot, μB/f.u.: 1.02
Energy of formation, eV/atom: -0.335

Cell: 9.5120 9.5120 9.5120 Å, 33.52 33.52 33.52°
Element x y z (fractional)
La (0.0000, 0.0000, 0.0000)
Tb (0.2499, 0.2499, 0.2499)
Tb (0.7501, 0.7501, 0.7501)
Ce (0.5000, 0.5000, 0.5000)
Tl (0.1259, 0.1259, 0.1259)
Tl (0.3760, 0.3760, 0.3760)
Tl (0.6240, 0.6240, 0.6240)
Tl (0.8741, 0.8741, 0.8741)

***

(14)
LaTbCeTm | PBE | optimized geometry

Values from the calculation:
Excess energy over the best structure of this formula in the dataset, meV per atom: 0
M_tot, μB/f.u.: 0.66
Energy of formation, eV/atom: 0.157

Cell: 5.7119 5.7119 5.7119 Å, 60.00 60.00 60.00°
Element x y z (fractional)
La (0.0000, 0.0000, 0.0000)
Tb (0.7500, 0.7500, 0.7500)
Ce (0.5000, 0.5000, 0.5000)
Tm (0.2500, 0.2500, 0.2500)

***

(15)
LaTb6Ce2Tm3 | PBE | optimized geometry

Values from the calculation:
M_tot, μB/f.u.: 1.83
Energy of formation, eV/atom: 0.053

Cell: 6.1426 6.1426 11.7683 Å, 95.00 95.00 120.02°
Element x y z (fractional)
La (0.0000, 0.0000, 0.0000)
Tb (0.0849, 0.4217, 0.2524)
Tb (0.2518, 0.2518, 0.7475)
Tb (0.4217, 0.0849, 0.2524)
Tb (0.5783, 0.9151, 0.7476)
Tb (0.7482, 0.7482, 0.2525)
Tb (0.9151, 0.5783, 0.7476)
Ce (0.3333, 0.6667, 0.0000)
Ce (0.6667, 0.3333, 0.0000)
Tm (0.1666, 0.8334, 0.5000)
Tm (0.5000, 0.5000, 0.5000)
Tm (0.8334, 0.1666, 0.5000)

***

(16)
La6TbCeTm2 | PBE | optimized geometry

Values from the calculation:
M_tot, μB/f.u.: 0.98
Energy of formation, eV/atom: 0.223

Cell: 6.9618 6.9618 9.0544 Å, 107.75 107.75 59.37°
Element x y z (fractional)
La (0.0963, 0.6138, 0.6940)
La (0.1665, 0.1665, 0.9213)
La (0.3862, 0.9037, 0.3060)
La (0.6138, 0.0963, 0.6940)
La (0.8335, 0.8335, 0.0787)
La (0.9037, 0.3862, 0.3060)
Tb (0.5000, 0.5000, 0.0000)
Ce (0.0000, 0.0000, 0.5000)
Tm (0.3991, 0.3991, 0.3210)
Tm (0.6009, 0.6009, 0.6790)

***

(17)
LaTbCeY2 | PBE | optimized geometry

Values from the calculation:
M_tot, μB/f.u.: 0.85
Energy of formation, eV/atom: 0.292

Cell: 8.6888 6.2771 6.1222 Å, 90.00 93.20 90.00°
Element x y z (fractional)
La (0.0000, 0.0000, 0.0000)
La (0.0000, 0.0000, 0.5000)
Tb (0.5000, 0.1741, 0.2500)
Tb (0.5000, 0.8259, 0.7500)
Ce (0.0000, 0.4610, 0.2500)
Ce (0.0000, 0.5390, 0.7500)
Y (0.3118, 0.3142, 0.7330)
Y (0.3118, 0.6858, 0.2330)
Y (0.6882, 0.3142, 0.7670)
Y (0.6882, 0.6858, 0.2670)

***

(18)
La6TbCeY2 | PBE | optimized geometry

Values from the calculation:
M_tot, μB/f.u.: 1.19
Energy of formation, eV/atom: 0.215

Cell: 6.7394 6.7394 8.9795 Å, 101.46 101.46 64.58°
Element x y z (fractional)
La (0.1032, 0.5638, 0.2048)
La (0.1330, 0.1330, 0.4215)
La (0.4362, 0.8968, 0.7952)
La (0.5638, 0.1032, 0.2048)
La (0.8670, 0.8670, 0.5785)
La (0.8968, 0.4362, 0.7952)
Tb (0.5000, 0.5000, 0.5000)
Ce (0.0000, 0.0000, 0.0000)
Y (0.4027, 0.4027, 0.8375)
Y (0.5973, 0.5973, 0.1625)

***

(19)
La3Tb2CeY6 | PBE | optimized geometry

Values from the calculation:
M_tot, μB/f.u.: 1.21
Energy of formation, eV/atom: 0.034

Cell: 6.2732 6.2732 11.9051 Å, 95.04 95.04 120.02°
Element x y z (fractional)
La (0.0000, 0.0000, 0.0000)
La (0.3323, 0.6677, 0.0000)
La (0.6677, 0.3323, 0.0000)
Tb (0.1667, 0.8333, 0.5000)
Tb (0.8333, 0.1667, 0.5000)
Ce (0.5000, 0.5000, 0.5000)
Y (0.0869, 0.4183, 0.2551)
Y (0.2501, 0.2501, 0.7451)
Y (0.4183, 0.0869, 0.2551)
Y (0.5817, 0.9131, 0.7449)
Y (0.7499, 0.7499, 0.2549)
Y (0.9131, 0.5817, 0.7449)

***

(20)
La3TbCe2Y6 | PBE | optimized geometry

Values from the calculation:
M_tot, μB/f.u.: 1.99
Energy of formation, eV/atom: 0.046

Cell: 6.2580 6.2580 11.8726 Å, 95.04 95.04 120.01°
Element x y z (fractional)
La (0.0000, 0.0000, 0.0000)
La (0.3343, 0.6657, 0.0000)
La (0.6657, 0.3343, 0.0000)
Tb (0.5000, 0.5000, 0.5000)
Ce (0.1665, 0.8335, 0.5000)
Ce (0.8335, 0.1665, 0.5000)
Y (0.0836, 0.4186, 0.2559)
Y (0.2463, 0.2463, 0.7441)
Y (0.4186, 0.0836, 0.2559)
Y (0.5814, 0.9164, 0.7441)
Y (0.7537, 0.7537, 0.2559)
Y (0.9164, 0.5814, 0.7441)

***

(21)
LaTbCeZn | PBE | optimized geometry

Values from the calculation:
M_tot, μB/f.u.: 2.28
Energy of formation, eV/atom: 0.099

Cell: 5.3401 5.3401 5.3401 Å, 60.00 60.00 60.00°
Element x y z (fractional)
La (0.0000, 0.0000, 0.0000)
Tb (0.5000, 0.5000, 0.5000)
Ce (0.7500, 0.7500, 0.7500)
Zn (0.2500, 0.2500, 0.2500)

***

(22)
La3CeTc | PBE | optimized geometry

Values from the calculation:
M_tot, μB/f.u.: 2.24
Energy of formation, eV/atom: 0.183

Cell: 5.5867 5.5867 5.5867 Å, 90.00 90.00 90.00°
Element x y z (fractional)
La (0.0000, 0.0000, 0.5000)
La (0.0000, 0.5000, 0.0000)
La (0.5000, 0.0000, 0.0000)
Ce (0.5000, 0.5000, 0.5000)
Tc (0.0000, 0.0000, 0.0000)

***

(23)
La3CeTc2 | PBE | optimized geometry

Values from the calculation:
M_tot, μB/f.u.: 0.00
Energy of formation, eV/atom: 0.074

Cell: 7.9990 7.9990 6.4618 Å, 105.96 105.96 58.51°
Element x y z (fractional)
La (0.0742, 0.4029, 0.7363)
La (0.1800, 0.8200, 0.7500)
La (0.4029, 0.0742, 0.2363)
La (0.5971, 0.9258, 0.7637)
La (0.8200, 0.1800, 0.2500)
La (0.9258, 0.5971, 0.2637)
Ce (0.2587, 0.7413, 0.2500)
Ce (0.7413, 0.2587, 0.7500)
Tc (0.4012, 0.4221, 0.5567)
Tc (0.4221, 0.4012, 0.0567)
Tc (0.5779, 0.5988, 0.9433)
Tc (0.5988, 0.5779, 0.4433)